! PBE-GGA Ce2GeC, relaxed; values from VASP
&SYSTEM
  ibrav = 0, nat = 4, ntyp = 3
/
ATOMIC_SPECIES
Ge 72.64 Ge.upf
C 12.01 C.upf
Ce 140.12 Ce.upf
ATOMIC_POSITIONS crystal
Ge 0.000 0.000 0.000
C 0.500 0.500 0.500
Ce 0.231 0.231 0.306
Ce 0.769 0.769 0.694
CELL_PARAMETERS angstrom
3.649 0.000 0.000
1.824 3.160 0.000
1.824 1.053 7.466
! * size of the total moment: 0.00 μB per atom
! * E_tot: -0.496 Ry per atom